No. 1
An optimized crystal structure of V3BAu, computed with PBE.

Summary:
As for the energy above the most stable polymorph in this dataset: 2.316 eV per atom. Its space group is Pm-3m (221). Its energy relative to the elements is 11.24 eV per formula unit. As for the density of states at the Fermi level: 10.994 states/eV per cell. The value obtained for the total energy is -26.07 eV/cell.

abc: 4.757 4.757 4.757
angles: 90.00 90.00 90.00
Each line ends with the local moment (μB).
Sites, in units of the cell vectors:
B (0.500, 0.500, 0.500)  -0.18
Au (0.000, 0.000, 0.000)  -0.02
V (0.000, 0.500, 0.000)  1.61
V (0.000, 0.000, 0.500)  1.61
V (0.500, 0.000, 0.000)  1.61



No. 2
An optimized crystal structure of SrLaSbTe, computed with PBE.

Summary:
Its space group is R3m (160). The raw formation energy comes out at -1450.1 meV per atom. The value obtained for the total energy is -19.67 eV/cell.

abc: 4.697 4.697 8.154
angles: 73.26 73.26 60.00
Sites, in units of the cell vectors:
Sr (0.747, 0.747, 0.758)
La (0.254, 0.254, 0.237)
Sb (0.995, 0.995, 0.014)
Te (0.503, 0.503, 0.491)



No. 3
An optimized crystal structure of Be2Si2Ge, computed with PBE.

Summary:
As for the energy above the most stable polymorph in this dataset: 0.054 eV per atom. Its space group is P4/mbm (127). The raw formation energy comes out at 415.4 meV per atom. As for the density of states at the Fermi level: 3.858 states/eV per cell. The value obtained for the total energy is -41.68 eV/cell.

abc: 7.238 7.238 2.536
angles: 90.00 90.00 90.00
Sites, in units of the cell vectors:
Be (0.156, 0.656, 0.500)
Be (0.656, 0.844, 0.500)
Be (0.844, 0.344, 0.500)
Be (0.344, 0.156, 0.500)
Ge (0.000, 0.000, 0.000)
Ge (0.500, 0.500, 0.000)
Si (0.363, 0.863, 0.000)
Si (0.863, 0.637, 0.000)
Si (0.637, 0.137, 0.000)
Si (0.137, 0.363, 0.000)



No. 4
An optimized crystal structure of La2ZnHg, computed with PBE.

Summary:
As for the energy above the most stable polymorph in this dataset: 0.081 eV per atom. Its space group is Cm (8). Its energy relative to the elements is -1.35 eV per formula unit. As for the density of states at the Fermi level: 3.545 states/eV per cell. The value obtained for the total energy is -12.78 eV/cell.

abc: 6.414 6.414 5.250
angles: 65.69 65.69 34.37
Sites, in units of the cell vectors:
Zn (0.475, 0.475, 0.526)
Hg (0.785, 0.785, 0.714)
La (0.010, 0.010, 0.990)
La (0.230, 0.230, 0.270)



No. 5
An optimized crystal structure of LaNi2, computed with PBE.

Summary:
Its space group is Fm-3m (225). Its energy relative to the elements is 1.41 eV per formula unit. As for the density of states at the Fermi level: 3.902 states/eV per cell. The value obtained for the total energy is -15.08 eV/cell.

abc: 4.521 4.521 4.521
angles: 60.00 60.00 60.00
Sites, in units of the cell vectors:
La (0.000, 0.000, 0.000)
Ni (0.750, 0.750, 0.750)
Ni (0.250, 0.250, 0.250)



No. 6
An optimized crystal structure of Th3CoBi, computed with PBE.

Summary:
As for the energy above the most stable polymorph in this dataset: 0.000 eV per atom. Its space group is Cmmm (65). Its energy relative to the elements is -1.55 eV per formula unit. As for the density of states at the Fermi level: 10.221 states/eV per cell. The value obtained for the total energy is -69.60 eV/cell.

abc: 5.049 7.347 8.690
angles: 115.01 90.00 90.00
Sites, in units of the cell vectors:
Th (0.500, 0.278, 0.000)
Th (0.000, 0.878, 0.756)
Th (0.500, 0.722, 0.000)
Th (0.500, 0.500, 0.500)
Th (0.000, 0.122, 0.244)
Th (0.500, 0.000, 0.500)
Co (0.500, 0.122, 0.243)
Co (0.500, 0.878, 0.757)
Bi (0.000, 0.638, 0.276)
Bi (0.000, 0.362, 0.724)



Please write out number 5 again, unchanged.
An optimized crystal structure of LaNi2, computed with PBE.

Summary:
Its space group is Fm-3m (225). Its energy relative to the elements is 1.41 eV per formula unit. As for the density of states at the Fermi level: 3.902 states/eV per cell. The value obtained for the total energy is -15.08 eV/cell.

abc: 4.521 4.521 4.521
angles: 60.00 60.00 60.00
Sites, in units of the cell vectors:
La (0.000, 0.000, 0.000)
Ni (0.750, 0.750, 0.750)
Ni (0.250, 0.250, 0.250)